# Li2HRhPb | Alexandria via LeMat-Bulk | PBE | relaxed
data_Li2HRhPb
_chemical_formula_sum 'Li2 H1 Rh1 Pb1'
_cell_length_a 4.1964
_cell_length_b 4.1964
_cell_length_c 3.7176
_cell_angle_alpha 90.00
_cell_angle_beta 90.00
_cell_angle_gamma 90.00
_symmetry_space_group_name_H-M 'P 4/m m m'
_symmetry_Int_Tables_number 123
_symmetry_space_group_name_Hall '-P 4 2'
loop_
_atom_site_label
_atom_site_type_symbol
_atom_site_fract_x
_atom_site_fract_y
_atom_site_fract_z
_atom_site_occupancy
Li1 Li 0.0000 0.5000 0.0000 1
H1 H 0.0000 0.0000 0.0000 1
Rh1 Rh 0.0000 0.0000 0.5000 1
Pb1 Pb 0.5000 0.5000 0.5000 1
# Total energy: -3.960 eV/atom

=====

# NaLiAl2O | Alexandria via LeMat-Bulk | PBE | relaxed
data_NaLiAl2O
_chemical_formula_sum 'Na1 Li1 Al2 O1'
_cell_length_a 5.1771
_cell_length_b 5.1771
_cell_length_c 4.4388
_cell_angle_alpha 90.00
_cell_angle_beta 90.00
_cell_angle_gamma 90.00
_symmetry_space_group_name_H-M 'P 4/m m m'
_symmetry_Int_Tables_number 123
_symmetry_space_group_name_Hall '-P 4 2'
loop_
_atom_site_label
_atom_site_type_symbol
_atom_site_fract_x
_atom_site_fract_y
_atom_site_fract_z
_atom_site_occupancy
Na1 Na 0.0000 0.0000 0.0000 1
Li1 Li 0.0000 0.0000 0.5000 1
Al1 Al 0.0000 0.5000 0.0000 1
O1 O 0.5000 0.5000 0.5000 1
# Formation energy without anion corrections: 1.092 eV per atom

=====

# Tl3P | Alexandria via LeMat-Bulk | PBE | relaxed
data_Tl3P
_chemical_formula_sum 'Tl6 P2'
_cell_length_a 6.4371
_cell_length_b 10.0859
_cell_length_c 3.3354
_cell_angle_alpha 90.00
_cell_angle_beta 90.00
_cell_angle_gamma 90.00
_symmetry_space_group_name_H-M 'C m m m'
_symmetry_Int_Tables_number 65
_symmetry_space_group_name_Hall '-C 2 2'
loop_
_atom_site_label
_atom_site_type_symbol
_atom_site_fract_x
_atom_site_fract_y
_atom_site_fract_z
_atom_site_occupancy
Tl1 Tl 0.0000 0.0000 0.0000 1
Tl2 Tl 0.2500 0.2500 0.5000 1
P1 P 0.0000 0.5000 0.0000 1
# Energy of formation from the pure elements: 0.302 eV/atom

=====

# LaSm3Ho4 | Alexandria via LeMat-Bulk | PBE | relaxed
data_LaSm3Ho4
_chemical_formula_sum 'La2 Sm6 Ho8'
_cell_length_a 11.5095
_cell_length_b 7.3184
_cell_length_c 6.3030
_cell_angle_alpha 90.00
_cell_angle_beta 90.00
_cell_angle_gamma 90.00
_symmetry_space_group_name_H-M 'P m n 21'
_symmetry_Int_Tables_number 31
_symmetry_space_group_name_Hall 'P 2ac -2'
loop_
_atom_site_label
_atom_site_type_symbol
_atom_site_fract_x
_atom_site_fract_y
_atom_site_fract_z
_atom_site_occupancy
La1 La 0.0000 0.1245 0.0000 1
Sm1 Sm 0.0000 0.8708 0.5037 1
Sm2 Sm 0.2487 0.1287 0.3374 1
Ho1 Ho 0.0000 0.3798 0.5027 1
Ho2 Ho 0.0000 0.6217 0.0042 1
Ho3 Ho 0.2490 0.6218 0.3368 1
# Energy of formation from the pure elements: 0.027 eV/atom
# Distance to the lowest polymorph of the same formula: 0 meV per atom

=====

# DyMgSc2 | Alexandria via LeMat-Bulk | PBE | relaxed
data_DyMgSc2
_chemical_formula_sum 'Dy3 Mg3 Sc6'
_cell_length_a 3.3124
_cell_length_b 3.3124
_cell_length_c 32.8611
_cell_angle_alpha 90.00
_cell_angle_beta 90.00
_cell_angle_gamma 120.00
_symmetry_space_group_name_H-M 'R 3 m'
_symmetry_Int_Tables_number 160
_symmetry_space_group_name_Hall 'R 3 -2"'
loop_
_atom_site_label
_atom_site_type_symbol
_atom_site_fract_x
_atom_site_fract_y
_atom_site_fract_z
_atom_site_occupancy
Dy1 Dy 0.0000 0.0000 0.0000 1
Mg1 Mg 0.0000 0.0000 0.1664 1
Sc1 Sc 0.0000 0.0000 0.4176 1
Sc2 Sc 0.0000 0.0000 0.5822 1
# Energy of formation from the pure elements: 0.071 eV/atom
# Distance to the lowest polymorph of the same formula: 74 meV per atom

=====

# NaHoMgAu | Alexandria via LeMat-Bulk | PBE | relaxed
data_NaHoMgAu
_chemical_formula_sum 'Na4 Ho4 Mg4 Au4'
_cell_length_a 7.0805
_cell_length_b 7.0805
_cell_length_c 7.0805
_cell_angle_alpha 90.00
_cell_angle_beta 90.00
_cell_angle_gamma 90.00
_symmetry_space_group_name_H-M 'F -4 3 m'
_symmetry_Int_Tables_number 216
_symmetry_space_group_name_Hall 'F -4 2 3'
loop_
_atom_site_label
_atom_site_type_symbol
_atom_site_fract_x
_atom_site_fract_y
_atom_site_fract_z
_atom_site_occupancy
Na1 Na 0.0000 0.0000 0.0000 1
Ho1 Ho 0.2500 0.2500 0.2500 1
Mg1 Mg 0.2500 0.2500 0.7500 1
Au1 Au 0.0000 0.0000 0.5000 1
# Energy of formation from the pure elements: -0.274 eV/atom

=====

# TmMnCl6 | Alexandria via LeMat-Bulk | PBE | relaxed
data_TmMnCl6
_chemical_formula_sum 'Tm3 Mn3 Cl18'
_cell_length_a 6.3682
_cell_length_b 6.3682
_cell_length_c 17.2180
_cell_angle_alpha 90.00
_cell_angle_beta 90.00
_cell_angle_gamma 120.00
_symmetry_space_group_name_H-M 'R -3'
_symmetry_Int_Tables_number 148
_symmetry_space_group_name_Hall '-R 3'
loop_
_atom_site_label
_atom_site_type_symbol
_atom_site_fract_x
_atom_site_fract_y
_atom_site_fract_z
_atom_site_occupancy
Tm1 Tm 0.0000 0.0000 0.0000 1
Mn1 Mn 0.0000 0.0000 0.5000 1
Cl1 Cl 0.0112 0.6965 0.5799 1
# Formation energy without anion corrections: -1.515 eV per atom
# Distance to the lowest polymorph of the same formula: 32 meV per atom

=====

# HfPS2O | Alexandria via LeMat-Bulk | PBE | relaxed
data_HfPS2O
_chemical_formula_sum 'Hf1 P1 S2 O1'
_cell_length_a 4.3286
_cell_length_b 4.3286
_cell_length_c 3.9594
_cell_angle_alpha 90.00
_cell_angle_beta 90.00
_cell_angle_gamma 90.00
_symmetry_space_group_name_H-M 'P 4/m m m'
_symmetry_Int_Tables_number 123
_symmetry_space_group_name_Hall '-P 4 2'
loop_
_atom_site_label
_atom_site_type_symbol
_atom_site_fract_x
_atom_site_fract_y
_atom_site_fract_z
_atom_site_occupancy
Hf1 Hf 0.0000 0.0000 0.0000 1
P1 P 0.5000 0.5000 0.0000 1
S1 S 0.0000 0.5000 0.5000 1
O1 O 0.5000 0.5000 0.5000 1
# Formation energy without anion corrections: 0.035 eV per atom
# Distance to the lowest polymorph of the same formula: 0 meV per atom

=====

| no. | DOS(E_F) (states/eV/f.u.) |
| --- | --- |
| 1 | 1.43 |
| 2 | 2.05 |
| 3 | 2.33 |
| 4 | 14.63 |
| 5 | 6.89 |
| 6 | 4.73 |
| 7 | 5.52 |
| 8 | 3.65 |